1.
The following is a DFT calculation (PBE) of YTm2In3Ni2Ag after structural relaxation.

Density = 8.72 g/cm3
Final energy = -41.746 eV/f.u.

The structure in CIF format:
```
data_YTm2In3Ni2Ag
_space_group_name_H-M_alt 'P 1'
_space_group_IT_number 1
_cell_length_a 3.757
_cell_length_b 7.642
_cell_length_c 7.642
_cell_angle_alpha 120.11
_cell_angle_beta 90.00
_cell_angle_gamma 90.00
loop_
_space_group_symop_operation_xyz
'x,y,z'
loop_
_atom_site_label
_atom_site_fract_x
_atom_site_fract_y
_atom_site_fract_z
_atom_site_occupancy
Y1 0.000 0.000 0.000 1
Tm1 0.000 0.408 0.817 1
Tm2 0.000 0.817 0.408 1
In1 0.500 0.132 0.409 1
In2 0.500 0.409 0.132 1
In3 0.500 0.684 0.684 1
Ni1 0.500 0.076 0.738 1
Ni2 0.500 0.738 0.076 1
Ag1 0.000 0.410 0.410 1
```

***

2.
The following is a DFT calculation (PBE) of Y2TmIn3Ni2Ag after structural relaxation.

Density = 7.92 g/cm3
Final energy = -43.789 eV/f.u.

The structure in CIF format:
```
data_Y2TmIn3Ni2Ag
_space_group_name_H-M_alt 'P 1'
_space_group_IT_number 1
_cell_length_a 3.790
_cell_length_b 7.646
_cell_length_c 7.646
_cell_angle_alpha 119.89
_cell_angle_beta 90.00
_cell_angle_gamma 90.00
loop_
_space_group_symop_operation_xyz
'x,y,z'
loop_
_atom_site_label
_atom_site_fract_x
_atom_site_fract_y
_atom_site_fract_z
_atom_site_occupancy
Y1 0.000 0.204 0.796 1
Y2 0.000 0.796 0.204 1
Tm1 0.000 0.614 0.614 1
In1 0.500 0.206 0.480 1
In2 0.500 0.480 0.206 1
In3 0.500 0.929 0.929 1
Ni1 0.500 0.539 0.868 1
Ni2 0.500 0.868 0.539 1
Ag1 0.000 0.206 0.206 1
```

***

3.
The following is a DFT calculation (PBE) of Y3In3NiAg2 after structural relaxation.

Density = 7.26 g/cm3
Final energy = -43.075 eV/f.u.

The structure in CIF format:
```
data_Y3In3NiAg2
_space_group_name_H-M_alt 'P 1'
_space_group_IT_number 1
_cell_length_a 7.701
_cell_length_b 7.701
_cell_length_c 3.942
_cell_angle_alpha 90.00
_cell_angle_beta 90.00
_cell_angle_gamma 120.00
loop_
_space_group_symop_operation_xyz
'x,y,z'
loop_
_atom_site_label
_atom_site_fract_x
_atom_site_fract_y
_atom_site_fract_z
_atom_site_occupancy
Y1 0.000 0.600 0.000 1
Y2 0.400 0.400 0.000 1
Y3 0.600 0.000 0.000 1
In1 0.000 0.246 0.500 1
In2 0.246 0.000 0.500 1
In3 0.754 0.754 0.500 1
Ni1 0.000 0.000 0.000 1
Ag1 0.333 0.667 0.500 1
Ag2 0.667 0.333 0.500 1
```

***

4.
The following is a DFT calculation (PBE) of In2AgO4 after structural relaxation.

Density = 6.72 g/cm3
Final energy = -35.305 eV/f.u.

The structure in CIF format:
```
data_In2AgO4
_space_group_name_H-M_alt 'P 1'
_space_group_IT_number 1
_cell_length_a 6.546
_cell_length_b 6.546
_cell_length_c 6.546
_cell_angle_alpha 60.00
_cell_angle_beta 60.00
_cell_angle_gamma 60.00
loop_
_space_group_symop_operation_xyz
'x,y,z'
loop_
_atom_site_label
_atom_site_fract_x
_atom_site_fract_y
_atom_site_fract_z
_atom_site_occupancy
In1 0.000 0.000 0.000 1
In2 0.000 0.000 0.500 1
In3 0.000 0.500 0.000 1
In4 0.500 0.000 0.000 1
Ag1 0.375 0.375 0.375 1
Ag2 0.625 0.625 0.625 1
O1 0.208 0.764 0.764 1
O2 0.236 0.236 0.236 1
O3 0.236 0.236 0.792 1
O4 0.236 0.792 0.236 1
O5 0.764 0.208 0.764 1
O6 0.764 0.764 0.208 1
O7 0.764 0.764 0.764 1
O8 0.792 0.236 0.236 1
```

***

5.
The following is a DFT calculation (PBE) of In2Ag5O6 after structural relaxation.

Density = 7.69 g/cm3
Final energy = -57.694 eV/f.u.

The structure in CIF format:
```
data_In2Ag5O6
_space_group_name_H-M_alt 'P 1'
_space_group_IT_number 1
_cell_length_a 5.849
_cell_length_b 5.849
_cell_length_c 6.307
_cell_angle_alpha 90.00
_cell_angle_beta 90.00
_cell_angle_gamma 120.00
loop_
_space_group_symop_operation_xyz
'x,y,z'
loop_
_atom_site_label
_atom_site_fract_x
_atom_site_fract_y
_atom_site_fract_z
_atom_site_occupancy
In1 0.333 0.667 0.000 1
In2 0.667 0.333 0.000 1
Ag1 0.000 0.000 0.269 1
Ag2 0.000 0.000 0.731 1
Ag3 0.000 0.500 0.500 1
Ag4 0.500 0.000 0.500 1
Ag5 0.500 0.500 0.500 1
O1 0.000 0.380 0.810 1
O2 0.000 0.620 0.190 1
O3 0.380 0.000 0.810 1
O4 0.380 0.380 0.190 1
O5 0.620 0.000 0.190 1
O6 0.620 0.620 0.810 1
```

***

6.
The following is a DFT calculation (PBE) of In2Ag3P3O12 after structural relaxation.

Density = 5.66 g/cm3
Final energy = -122.013 eV/f.u.

The structure in CIF format:
```
data_In2Ag3P3O12
_space_group_name_H-M_alt 'P 1'
_space_group_IT_number 1
_cell_length_a 9.008
_cell_length_b 9.008
_cell_length_c 6.605
_cell_angle_alpha 106.23
_cell_angle_beta 106.23
_cell_angle_gamma 90.98
loop_
_space_group_symop_operation_xyz
'x,y,z'
loop_
_atom_site_label
_atom_site_fract_x
_atom_site_fract_y
_atom_site_fract_z
_atom_site_occupancy
In1 0.073 0.383 0.156 1
In2 0.383 0.073 0.656 1
In3 0.617 0.927 0.344 1
In4 0.927 0.617 0.844 1
Ag1 0.002 0.998 0.750 1
Ag2 0.284 0.716 0.750 1
Ag3 0.500 0.500 0.000 1
Ag4 0.500 0.500 0.500 1
Ag5 0.716 0.284 0.250 1
Ag6 0.998 0.002 0.250 1
P1 0.138 0.341 0.638 1
P2 0.268 0.732 0.250 1
P3 0.341 0.138 0.138 1
P4 0.659 0.862 0.862 1
P5 0.732 0.268 0.750 1
P6 0.862 0.659 0.362 1
O1 0.010 0.337 0.423 1
O2 0.072 0.414 0.835 1
O3 0.146 0.751 0.043 1
O4 0.164 0.168 0.635 1
O5 0.168 0.164 0.135 1
O6 0.249 0.854 0.457 1
O7 0.252 0.568 0.283 1
O8 0.290 0.429 0.661 1
O9 0.337 0.010 0.923 1
O10 0.414 0.072 0.335 1
O11 0.429 0.290 0.161 1
O12 0.432 0.748 0.217 1
O13 0.568 0.252 0.783 1
O14 0.571 0.710 0.839 1
O15 0.586 0.928 0.665 1
O16 0.663 0.990 0.077 1
O17 0.710 0.571 0.339 1
O18 0.748 0.432 0.717 1
O19 0.751 0.146 0.543 1
O20 0.832 0.836 0.865 1
O21 0.836 0.832 0.365 1
O22 0.854 0.249 0.957 1
O23 0.928 0.586 0.165 1
O24 0.990 0.663 0.577 1
```

***

7.
The following is a DFT calculation (PBE) of InAgPbO3 after structural relaxation.

Density = 7.85 g/cm3
Final energy = -29.714 eV/f.u.

The structure in CIF format:
```
data_InAgPbO3
_space_group_name_H-M_alt 'P 1'
_space_group_IT_number 1
_cell_length_a 11.584
_cell_length_b 3.290
_cell_length_c 10.604
_cell_angle_alpha 90.00
_cell_angle_beta 90.00
_cell_angle_gamma 90.00
loop_
_space_group_symop_operation_xyz
'x,y,z'
loop_
_atom_site_label
_atom_site_fract_x
_atom_site_fract_y
_atom_site_fract_z
_atom_site_occupancy
In1 0.213 0.250 0.108 1
In2 0.287 0.750 0.608 1
In3 0.713 0.250 0.392 1
In4 0.787 0.750 0.892 1
Ag1 0.104 0.250 0.445 1
Ag2 0.396 0.750 0.945 1
Ag3 0.604 0.250 0.055 1
Ag4 0.896 0.750 0.555 1
Pb1 0.047 0.250 0.833 1
Pb2 0.453 0.750 0.333 1
Pb3 0.547 0.250 0.667 1
Pb4 0.953 0.750 0.167 1
O1 0.081 0.250 0.250 1
O2 0.119 0.750 0.020 1
O3 0.165 0.250 0.634 1
O4 0.335 0.750 0.134 1
O5 0.381 0.250 0.520 1
O6 0.419 0.750 0.750 1
O7 0.581 0.250 0.250 1
O8 0.619 0.750 0.480 1
O9 0.665 0.250 0.866 1
O10 0.835 0.750 0.366 1
O11 0.881 0.250 0.980 1
O12 0.919 0.750 0.750 1
```

***

8.
The following is a DFT calculation (PBE) of InAg3PdO4 after structural relaxation.

Density = 7.02 g/cm3
Final energy = -36.996 eV/f.u.

The structure in CIF format:
```
data_InAg3PdO4
_space_group_name_H-M_alt 'P 1'
_space_group_IT_number 1
_cell_length_a 5.242
_cell_length_b 5.242
_cell_length_c 5.242
_cell_angle_alpha 90.00
_cell_angle_beta 90.00
_cell_angle_gamma 90.00
loop_
_space_group_symop_operation_xyz
'x,y,z'
loop_
_atom_site_label
_atom_site_fract_x
_atom_site_fract_y
_atom_site_fract_z
_atom_site_occupancy
In1 0.000 0.000 0.000 1
Ag1 0.000 0.500 0.500 1
Ag2 0.500 0.000 0.500 1
Ag3 0.500 0.500 0.000 1
Pd1 0.500 0.500 0.500 1
O1 0.229 0.229 0.229 1
O2 0.229 0.771 0.771 1
O3 0.771 0.229 0.771 1
O4 0.771 0.771 0.229 1
```

***

- density of number 1 (YTm2In3Ni2Ag)?
  8.72 g/cm3

***

- Look up the final energy of the eighth one.
  -36.996 eV/f.u.

***

What did the eighth record say?
The following is a DFT calculation (PBE) of InAg3PdO4 after structural relaxation.

Density = 7.02 g/cm3
Final energy = -36.996 eV/f.u.

The structure in CIF format:
```
data_InAg3PdO4
_space_group_name_H-M_alt 'P 1'
_space_group_IT_number 1
_cell_length_a 5.242
_cell_length_b 5.242
_cell_length_c 5.242
_cell_angle_alpha 90.00
_cell_angle_beta 90.00
_cell_angle_gamma 90.00
loop_
_space_group_symop_operation_xyz
'x,y,z'
loop_
_atom_site_label
_atom_site_fract_x
_atom_site_fract_y
_atom_site_fract_z
_atom_site_occupancy
In1 0.000 0.000 0.000 1
Ag1 0.000 0.500 0.500 1
Ag2 0.500 0.000 0.500 1
Ag3 0.500 0.500 0.000 1
Pd1 0.500 0.500 0.500 1
O1 0.229 0.229 0.229 1
O2 0.229 0.771 0.771 1
O3 0.771 0.229 0.771 1
O4 0.771 0.771 0.229 1
```

***

- Which value of final energy does entry 5 give?
  -57.694 eV/f.u.